Material: NiClF3
Method: DFT, PBE+U
State: optimized geometry

a b c (Å): 5.1812 5.1878 7.1101
angles (deg): 83.99 82.64 62.16
Closest atoms and distances in Å follow each position.
Space group P1 (No. 1)
Unique sites:
Ni: 0.0000 0.0000 0.0000  5 F 1.82-2.02
Ni: 0.3330 0.3398 0.0010  6 F 1.99-2.05
Cl: 0.6377 0.5258 0.4138  1 Cl 1.95
Cl: 0.6752 0.7657 0.5921  1 Cl 1.95
F: 0.0024 0.6827 0.1435  2 Ni 1.84-2.05
F: 0.0423 0.2917 0.8548  1 Ni 1.82
F: 0.2571 0.0195 0.1471  2 Ni 1.84-2.03
F: 0.3086 0.6827 0.8364  2 Ni 1.99-2.02
F: 0.6421 0.2804 0.1658  2 Ni 1.99-2.06
F: 0.7028 0.0395 0.8566  2 Ni 1.88-2.05

Calculated density, g/cm3: 2.999
Energy above the lowest structure with this stoichiometry, eV/f.u.: 0.000
Raw total energy, eV per atom: -3.340